1.
An optimized crystal structure of Pm8In2Hg, computed with PBE.

As for the crystal system: monoclinic. Its energy relative to the elements is -227 meV/atom. Its offset from the most stable computed form is 0 meV/atom.

```
Pm8In2Hg
1.0
9.5901 -2.6725 0.0000
9.5901 2.6725 0.0000
-1.6614 0.0000 6.7948
Pm In Hg
8 2 1
Cartesian
-0.1454 0.0000 1.7935
2.6178 0.0000 5.4202
5.6877 0.0000 3.5927
7.7388 0.0000 0.2237
9.7800 0.0000 6.5712
11.8311 0.0000 3.2022
14.9010 0.0000 1.3747
17.6642 0.0000 5.0014
3.1232 0.0000 1.6229
14.3956 0.0000 5.1719
8.7594 0.0000 3.3974
```

2.
An optimized crystal structure of Na12S3F5, computed with PBE.

The calculation puts the uncorrected formation energy at -34.993 eV/f.u. As for the crystal system: cubic.

```
Na12S3F5
1.0
-7.4110 7.4110 7.4110
7.4110 -7.4110 7.4110
7.4110 7.4110 -7.4110
Na S F
48 12 20
Cartesian
2.2688 -0.3851 0.8600
8.8477 4.5655 -4.0906
9.6798 0.3851 0.8600
8.8477 -2.8455 4.0906
7.0259 -0.8600 2.2688
11.5016 -1.4367 2.8455
0.8600 2.2688 -0.3851
10.2565 3.3204 -1.4367
4.5655 4.0906 -1.4367
6.5510 2.2688 0.3851
-0.3851 0.8600 2.2688
4.0906 -1.4367 4.5655
7.0259 6.5510 -2.2688
4.0906 1.4367 2.8455
4.5655 -4.0906 8.8477
6.5510 -2.2688 7.0259
2.8455 4.0906 1.4367
8.2710 5.1422 0.3851
4.0906 8.8477 -2.8455
7.0259 0.8600 5.1422
2.2688 7.0259 -0.8600
8.8477 2.8455 3.3204
1.4367 2.8455 4.0906
2.2688 0.3851 6.5510
5.1422 7.0259 0.8600
5.9743 4.5655 3.3204
-1.4367 4.5655 4.0906
5.1422 0.3851 8.2710
0.3851 6.5510 2.2688
3.3204 -1.4367 10.2565
-0.8600 2.2688 7.0259
4.5655 3.3204 5.9743
0.8600 9.6798 0.3851
2.8455 11.5016 -1.4367
3.3204 5.9743 4.5655
0.3851 0.8600 9.6798
3.3204 8.8477 2.8455
7.7961 6.5510 5.1422
0.8600 5.1422 7.0259
2.8455 3.3204 8.8477
-2.8455 4.0906 8.8477
6.5510 5.1422 7.7961
-4.0906 8.8477 4.5655
0.3851 8.2710 5.1422
-1.4367 10.2565 3.3204
-2.2688 7.0259 6.5510
-1.4367 2.8455 11.5016
5.1422 7.7961 6.5510
3.7055 1.8527 0.0000
7.4110 3.7055 -1.8527
1.8527 0.0000 3.7055
9.2637 0.0000 3.7055
0.0000 3.7055 1.8527
3.7055 -1.8527 7.4110
3.7055 9.2637 0.0000
7.4110 3.7055 5.5582
-1.8527 7.4110 3.7055
5.5582 7.4110 3.7055
0.0000 3.7055 9.2637
3.7055 5.5582 7.4110
0.0000 0.0000 0.0000
3.7055 3.7055 -3.7055
3.7055 -3.7055 3.7055
7.4110 0.0000 0.0000
11.1165 1.8527 0.0000
7.4110 -3.7055 5.5582
5.5582 7.4110 -3.7055
5.5582 0.0000 3.7055
3.7055 5.5582 0.0000
7.4110 3.7055 1.8527
-3.7055 3.7055 3.7055
0.0000 7.4110 0.0000
0.0000 0.0000 7.4110
3.7055 3.7055 3.7055
0.0000 3.7055 5.5582
3.7055 1.8527 7.4110
1.8527 7.4110 3.7055
1.8527 0.0000 11.1165
0.0000 11.1165 1.8527
-3.7055 5.5582 7.4110
```

3.
An optimized crystal structure of RbAlNi2, computed with PBE.

As for the crystal system: tetragonal. Its energy relative to the elements is 441 meV/atom.

```
RbAlNi2
1.0
-2.4858 2.4858 8.0446
2.4858 -2.4858 8.0446
2.4858 2.4858 -8.0446
Rb Al Ni
2 2 4
Cartesian
2.4858 1.2429 2.0111
0.0000 1.2429 6.0334
2.4858 -1.2429 6.0334
0.0000 3.7287 2.0111
0.0000 0.0000 0.0000
1.2429 1.2429 -4.0223
1.2429 -1.2429 4.0223
0.0000 2.4858 0.0000
```

4.
An optimized crystal structure of ScTl2Os, computed with PBE.

As for the crystal system: monoclinic. Its energy relative to the elements is 453 meV/atom. Its offset from the most stable computed form is 306 meV/atom.

```
ScTl2Os
1.0
3.0435 -4.9688 0.0000
3.0435 4.9688 0.0000
-1.8250 0.0000 2.7994
Sc Tl Os
1 2 1
Cartesian
0.0000 0.0000 0.0000
0.6093 2.4844 1.3997
0.6093 -2.4844 1.3997
3.0435 0.0000 0.0000
```